Entry 1:
The following is a DFT calculation (GGA-PBE) of Cr2ReTc after structural relaxation.

```
Cr2ReTc
1.0
-0.8775 3.7555 -1.7366
-1.0537 -1.9201 -3.6184
-2.8074 -0.2232 0.9360
Re Cr Tc
1 2 1
Direct
0.5000 0.0000 0.5000 Re
0.0000 0.0000 0.0000 Cr
0.5000 0.5000 0.0000 Cr
0.0000 0.5000 0.5000 Tc
```

The final energy comes out at -41.86 eV for the cell shown. The total magnetization is 0.0 μB per formula unit.


Entry 2:
The following is a DFT calculation (GGA-PBE) of Rb2NaF2 after structural relaxation.

```
Rb2NaF2
1.0
-6.3551 -1.3468 -2.8481
-1.2434 -6.2254 5.7181
2.3211 7.7125 8.9014
F Rb Na
8 8 4
Direct
0.7719 0.9284 0.4758 F
0.2156 0.1227 0.8159 F
0.7156 0.3773 0.8159 F
0.2719 0.5716 0.4758 F
0.7281 0.4284 0.5242 F
0.2844 0.6227 0.1841 F
0.7844 0.8773 0.1841 F
0.2281 0.0716 0.5242 F
0.2923 0.8723 0.0153 Rb
0.7077 0.1277 0.9847 Rb
0.2951 0.8595 0.3664 Rb
0.2049 0.3595 0.6336 Rb
0.7049 0.1405 0.6336 Rb
0.7923 0.6277 0.0153 Rb
0.2077 0.3723 0.9847 Rb
0.7951 0.6405 0.3664 Rb
0.1610 0.9333 0.6586 Na
0.6610 0.5667 0.6586 Na
0.8390 0.0667 0.3414 Na
0.3390 0.4333 0.3414 Na
```

The total magnetization is 0.0 μB per formula unit. As for the uncorrected formation energy: -2.04 eV per atom. Its offset from the most stable computed form is 0.0 meV/atom.


Entry 3:
The following is a DFT calculation (GGA-PBE) of MgAgP after structural relaxation.

```
MgAgP
1.0
6.9694 0.0000 0.0000
0.0000 7.1319 0.0000
0.0000 0.0000 4.6544
Ag Mg P
4 4 4
Direct
0.3639 0.7500 0.0047 Ag
0.6361 0.2500 0.9953 Ag
0.1361 0.2500 0.5047 Ag
0.8639 0.7500 0.4953 Ag
0.0000 0.5000 0.0000 Mg
0.0000 0.0000 0.0000 Mg
0.5000 0.0000 0.5000 Mg
0.5000 0.5000 0.5000 Mg
0.2706 0.2500 0.0051 P
0.7706 0.2500 0.4949 P
0.7294 0.7500 0.9949 P
0.2294 0.7500 0.5051 P
```

The final energy comes out at -41.18 eV for the cell shown. The total magnetization is 0.0 μB per formula unit.


Entry 4:
The following is a DFT calculation (GGA-PBE) of BaSrW2 after structural relaxation.

```
BaSrW2
1.0
-1.5943 -3.6425 -4.8953
-2.6182 -0.3496 5.7268
-2.1419 1.8780 -0.7886
W Sr Ba
2 1 1
Direct
0.0000 0.0000 0.0000 W
0.5000 0.5000 0.0000 W
0.0000 0.5000 0.5000 Sr
0.5000 0.0000 0.5000 Ba
```

The total magnetization is 0.0 μB per formula unit. Its offset from the most stable computed form is 831.4 meV/atom.